(1)
The following is a PBE calculation of an optimized crystal structure of BaTa2W, from the Alexandria database.

Structure (POSCAR):
```
BaTa2W
1.0
-2.2216 1.7761 -1.7167
-2.4656 -1.7342 1.3966
-0.3896 5.7554 6.4588
W Ta Ba
1 2 1
Cartesian
-2.4410 1.4598 1.4547 W
-0.1619 2.3923 2.6847 Ta
-0.0329 0.4853 0.5447 Ta
-2.6358 4.3375 4.6841 Ba
```

Summary:
As for the total energy: -9.0480 eV per atom. The calculation puts the density of states at the Fermi level at 4.572 states/eV/f.u. The excess energy over the best structure of this formula in the dataset comes out at 0.0000 eV/atom. For the formation energy, the calculation gives 2.4 eV per formula unit. As for the volume: 95.6 Å³/cell. As for the mass density: 11.867 Mg/m³.

***

(2)
The following is a PBE calculation of an optimized crystal structure of KVCo2, from the Alexandria database.

Structure (POSCAR):
```
KVCo2
1.0
6.9061 0.0000 0.0000
0.0000 6.9061 0.0000
3.4530 3.4530 3.0933
V K Co
2 2 4
Cartesian
6.9061 3.4530 1.5467 V
0.0000 0.0000 0.0000 V
3.4530 6.9061 1.5467 K
3.4530 3.4530 0.0000 K
5.1796 4.6373 2.3200 Co
5.7218 1.7265 0.7733 Co
1.1842 5.1796 0.7733 Co
8.6326 9.1749 2.3200 Co
```

Summary:
As for the total energy: -4.9538 eV per atom. The calculation puts the density of states at the Fermi level at 2.000 states/eV/f.u. For the formation energy, the calculation gives 4.6 eV per formula unit. As for the volume: 147.5 Å³/cell. As for the mass density: 4.680 Mg/m³.

***

(3)
The following is a PBE calculation of an optimized crystal structure of BeHg2RhN, from the Alexandria database.

Structure (POSCAR):
```
BeHg2RhN
1.0
-1.1372 4.7000 -2.1583
-3.9332 -1.2537 -0.6578
-1.3869 1.8518 4.7632
N Rh Be Hg
1 1 1 2
Cartesian
-3.2286 2.6490 0.9736 N
0.0000 0.0000 0.0000 Rh
-1.9666 -0.6269 -0.3289 Be
-0.6935 0.9259 2.3816 Hg
-0.5686 2.3500 -1.0791 Hg
```

Summary:
As for the total energy: -2.7102 eV per atom. The calculation puts the density of states at the Fermi level at 1.608 states/eV/f.u. As for the volume: 117.2 Å³/cell. As for the mass density: 7.467 Mg/m³. The formation energy (no corrections) comes out at 125 kJ per mole of atoms.

***

(4)
The following is a PBE calculation of an optimized crystal structure of Dy2Pu3PaTe6, from the Alexandria database.

Structure (POSCAR):
```
Dy2Pu3PaTe6
1.0
-4.1541 0.9908 -0.8046
-1.9619 -1.2805 8.5520
4.3537 8.7778 0.0675
Te Pa Pu Dy
6 1 3 2
Cartesian
-1.2774 8.7732 5.6625 Te
-1.4876 3.4916 0.2443 Te
0.6929 5.6264 3.3511 Te
-0.2747 4.9965 7.5706 Te
-2.4552 2.8617 4.4638 Te
-0.4849 -0.2851 2.1524 Te
-2.0770 0.4954 -0.4023 Pa
-3.0580 -0.1449 3.8737 Pu
-0.8729 6.5039 0.7799 Pu
-0.8894 1.9842 7.0350 Pu
0.1039 2.6714 2.7534 Dy
-1.8662 5.8167 5.0615 Dy
```

Summary:
As for the total energy: -7.7948 eV per atom. The calculation puts the density of states at the Fermi level at 33.162 states/eV/f.u. As for the volume: 358.6 Å³/cell. As for the mass density: 9.510 Mg/m³. The formation energy (no corrections) comes out at -104 kJ per mole of atoms.

***

(5)
The following is a PBE calculation of an optimized crystal structure of NdDy2Zn9, from the Alexandria database.

Structure (POSCAR):
```
NdDy2Zn9
1.0
-2.8488 3.8710 -2.6184
-3.4867 3.1793 2.7734
4.2194 8.0070 1.5263
Zn Dy Nd
9 2 1
Cartesian
-1.5698 4.9123 0.4444 Zn
-3.0215 6.8849 -0.8898 Zn
-4.1902 4.7301 0.1111 Zn
-3.3466 6.5324 1.8577 Zn
2.0741 10.3272 1.5701 Zn
0.9054 8.1725 2.5711 Zn
-0.5463 10.1450 1.2368 Zn
1.2304 8.5249 -0.1765 Zn
-1.0581 7.5287 0.8406 Zn
-3.6648 9.4366 0.7770 Dy
1.5487 5.6208 0.9042 Dy
0.0000 0.0000 0.0000 Nd
```

Summary:
As for the total energy: -2.4396 eV per atom. The calculation puts the density of states at the Fermi level at 7.235 states/eV/f.u. For the formation energy, the calculation gives -3.8 eV per formula unit. As for the volume: 223.6 Å³/cell. As for the mass density: 7.858 Mg/m³.

***

(6)
The following is a PBE calculation of an optimized crystal structure of Cs2GaPCl6, from the Alexandria database.

Structure (POSCAR):
```
Cs2GaPCl6
1.0
-1.0516 -7.0178 2.4707
6.5714 0.2939 3.6317
0.2949 -1.4759 7.3591
Cs P Ga Cl
2 1 1 6
Cartesian
4.8131 -2.2720 7.0210 Cs
1.0016 -5.9278 6.4405 Cs
2.7599 -3.3619 3.0512 P
0.0000 0.0000 0.0000 Ga
1.0042 -5.0459 2.7838 Cl
4.1919 -5.7078 8.4231 Cl
1.4886 -1.8133 1.6457 Cl
1.6228 -2.4919 5.0383 Cl
4.5156 -1.6780 3.3186 Cl
4.0312 -4.9105 4.4567 Cl
```

Summary:
As for the total energy: -3.3067 eV per atom. The calculation puts the density of states at the Fermi level at 0.000 states/eV/f.u. As for the volume: 299.8 Å³/cell. As for the mass density: 3.209 Mg/m³. The formation energy (no corrections) comes out at -114 kJ per mole of atoms.